Record 1
Below is a geometry-optimized ErTeAuO structure, with properties calculated at the PBE-GGA level.

Calculated values
Crystal system ... tetragonal
SG ... No. 129
Relative energy among the computed polymorphs ... 0.040 eV/atom

abc: 3.993 3.993 10.037
angles: 90.00 90.00 90.00
Sites, in units of the cell vectors:
Au 0.750 0.250 0.500
Au 0.250 0.750 0.500
Er 0.250 0.250 0.105
Er 0.750 0.750 0.895
O 0.750 0.250 0.000
O 0.250 0.750 0.000
Te 0.750 0.750 0.283
Te 0.250 0.250 0.717

***

Record 2
Below is a geometry-optimized NdCo2GeP structure, with properties calculated at the PBE-GGA level.

Calculated values
Crystal system ... tetragonal
SG ... No. 107
Uncorrected energy ... -6.603 eV per atom

abc: 5.700 5.700 5.700
angles: 139.10 139.10 59.23
Sites, in units of the cell vectors:
Co 0.757 0.257 0.500
Co 0.257 0.757 0.500
Ge 0.629 0.629 0.000
Nd 0.996 0.996 0.000
P 0.361 0.361 0.000

***

Record 3
Below is a geometry-optimized ZnAgTeO structure, with properties calculated at the PBE-GGA level.

Calculated values
Crystal system ... tetragonal
SG ... No. 129
Relative energy among the computed polymorphs ... 0.672 eV/atom

abc: 4.454 4.454 9.112
angles: 90.00 90.00 90.00
Sites, in units of the cell vectors:
Ag 0.750 0.750 0.128
Ag 0.250 0.250 0.872
O 0.250 0.250 0.108
O 0.750 0.750 0.892
Te 0.750 0.250 0.500
Te 0.250 0.750 0.500
Zn 0.250 0.250 0.303
Zn 0.750 0.750 0.697

***

Record 4
Below is a geometry-optimized Dy5CoPb3 structure, with properties calculated at the PBE-GGA level.

Calculated values
Crystal system ... hexagonal
SG ... No. 193
Uncorrected energy ... -5.057 eV per atom

abc: 9.213 9.213 6.645
angles: 90.00 90.00 120.00
Sites, in units of the cell vectors:
Co 0.000 0.000 0.000
Co 0.000 0.000 0.500
Dy 0.667 0.333 0.000
Dy 0.333 0.667 0.000
Dy 0.231 0.000 0.250
Dy 0.000 0.231 0.250
Dy 0.769 0.769 0.250
Dy 0.667 0.333 0.500
Dy 0.333 0.667 0.500
Dy 0.769 0.000 0.750
Dy 0.231 0.231 0.750
Dy 0.000 0.769 0.750
Pb 0.596 0.000 0.250
Pb 0.404 0.404 0.250
Pb 0.000 0.596 0.250
Pb 0.404 0.000 0.750
Pb 0.000 0.404 0.750
Pb 0.596 0.596 0.750

***

Number 1: ρ 10.538 g cm⁻³. Number 2: ρ 7.725 g cm⁻³. Number 3: ρ 5.822 g cm⁻³. Number 4: ρ 10.153 g cm⁻³.